Record 1
# BaLiCa2

A crystal of BaLiCa2 relaxed with PBEsol (SCAN, Alexandria).

a b c (Å): 4.333 6.033 6.276
angles (deg): 90.00 90.00 90.00
Fractional positions:
Ba1 0.000 0.000 0.000
Li1 0.500 0.500 0.000
Ca1 0.000 0.500 0.500
Ca2 0.500 0.000 0.500

Values from the calculation:
Total magnetic moment: 0.32 μB per formula unit
Offset from the most stable computed form: 0.070 eV/atom
V: 41.02 Å³ per atom

=====

Record 2
# BaLiCa2

A crystal of BaLiCa2 relaxed with PBEsol (SCAN, Alexandria).

a b c (Å): 6.050 6.050 6.050
angles (deg): 60.00 60.00 60.00
Fractional positions:
Ba1 0.000 0.000 0.000
Li1 0.500 0.500 0.500
Ca1 0.250 0.250 0.250
Ca2 0.750 0.750 0.750

Values from the calculation:
Total magnetic moment: 0.00 μB per formula unit
Offset from the most stable computed form: 0.115 eV/atom
V: 39.15 Å³ per atom

=====

Record 3
# BaLiCa2

A crystal of BaLiCa2 relaxed with PBEsol (SCAN, Alexandria).

a b c (Å): 6.867 6.867 6.867
angles (deg): 133.98 133.98 67.13
Fractional positions:
Ba1 0.000 0.000 0.000
Li1 0.500 0.500 0.000
Ca1 0.250 0.750 0.500
Ca2 0.750 0.250 0.500

Values from the calculation:
Total magnetic moment: 0.57 μB per formula unit
Offset from the most stable computed form: 0.090 eV/atom
V: 41.24 Å³ per atom

=====

Record 4
# Ba2LiCaSn

A crystal of Ba2LiCaSn relaxed with PBEsol (SCAN, Alexandria).

a b c (Å): 6.164 6.164 5.028
angles (deg): 90.00 90.00 90.00
Fractional positions:
Ba1 0.000 0.500 0.000
Ba2 0.500 0.000 0.000
Li1 0.000 0.000 0.000
Ca1 0.500 0.500 0.500
Sn1 0.000 0.000 0.500

Values from the calculation:
Total magnetic moment: 0.00 μB per formula unit
V: 38.21 Å³ per atom
VASP energy: -25.550 eV/atom

=====

Record 5
# Ba3CaMg

A crystal of Ba3CaMg relaxed with PBEsol (SCAN, Alexandria).

a b c (Å): 6.643 6.643 6.643
angles (deg): 90.00 90.00 90.00
Fractional positions:
Ba1 0.000 0.000 0.500
Ba2 0.000 0.500 0.000
Ba3 0.500 0.000 0.000
Ca1 0.500 0.500 0.500
Mg1 0.000 0.000 0.000

Values from the calculation:
Total magnetic moment: 0.01 μB per formula unit
V: 58.63 Å³ per atom
VASP energy: -26.386 eV/atom

=====

Record 6
# BaCaMg2

A crystal of BaCaMg2 relaxed with PBEsol (SCAN, Alexandria).

a b c (Å): 6.742 6.742 6.083
angles (deg): 110.29 110.29 32.47
Fractional positions:
Ba1 0.000 0.000 0.000
Ca1 0.204 0.204 0.654
Mg1 0.454 0.454 0.469
Mg2 0.759 0.759 0.204

Values from the calculation:
Total magnetic moment: 0.17 μB per formula unit
Offset from the most stable computed form: 0.055 eV/atom
V: 34.61 Å³ per atom

=====

Record 7
# BaCaMg2

A crystal of BaCaMg2 relaxed with PBEsol (SCAN, Alexandria).

a b c (Å): 4.099 4.099 8.232
angles (deg): 90.00 90.00 90.00
Fractional positions:
Ba1 0.000 0.000 0.000
Ca1 0.000 0.000 0.500
Mg1 0.500 0.500 0.283
Mg2 0.500 0.500 0.717

Values from the calculation:
Total magnetic moment: 0.03 μB per formula unit
Offset from the most stable computed form: 0.000 eV/atom
V: 34.58 Å³ per atom

=====

Record 8
# BaCaMg2

A crystal of BaCaMg2 relaxed with PBEsol (SCAN, Alexandria).

a b c (Å): 6.926 6.926 6.926
angles (deg): 147.22 128.95 62.01
Fractional positions:
Ba1 0.000 0.000 0.000
Ca1 0.294 0.794 0.500
Mg1 0.541 0.541 0.000
Mg2 0.738 0.238 0.500

Values from the calculation:
Total magnetic moment: 0.09 μB per formula unit
Offset from the most stable computed form: 0.058 eV/atom
V: 34.63 Å³ per atom

=====

Record 9
# BaCa2Mg2

A crystal of BaCa2Mg2 relaxed with PBEsol (SCAN, Alexandria).

a b c (Å): 9.699 9.699 3.718
angles (deg): 90.00 90.00 90.00
Fractional positions:
Ba1 0.000 0.000 0.000
Ba2 0.500 0.500 0.000
Ca1 0.128 0.372 0.000
Ca2 0.372 0.872 0.000
Ca3 0.628 0.128 0.000
Ca4 0.872 0.628 0.000
Mg1 0.166 0.666 0.500
Mg2 0.334 0.166 0.500
Mg3 0.666 0.834 0.500
Mg4 0.834 0.334 0.500

Values from the calculation:
Total magnetic moment: 0.00 μB per formula unit
V: 34.97 Å³ per atom
VASP energy: -13.776 eV/atom

=====

Record 10
# BaCaMg2

A crystal of BaCaMg2 relaxed with PBEsol (SCAN, Alexandria).

a b c (Å): 5.665 5.665 5.665
angles (deg): 60.00 60.00 60.00
Fractional positions:
Ba1 0.000 0.000 0.000
Ca1 0.750 0.750 0.750
Mg1 0.250 0.250 0.250
Mg2 0.500 0.500 0.500

Values from the calculation:
Total magnetic moment: 0.00 μB per formula unit
Offset from the most stable computed form: 0.062 eV/atom
V: 32.15 Å³ per atom

=====

Record 11
# BaCaMg2

A crystal of BaCaMg2 relaxed with PBEsol (SCAN, Alexandria).

a b c (Å): 3.896 3.896 9.262
angles (deg): 90.00 90.00 90.00
Fractional positions:
Ba1 0.000 0.000 0.000
Ca1 0.500 0.500 0.348
Mg1 0.000 0.000 0.570
Mg2 0.500 0.500 0.732

Values from the calculation:
Total magnetic moment: 0.05 μB per formula unit
Offset from the most stable computed form: 0.059 eV/atom
V: 35.15 Å³ per atom

=====

Record 12
# BaCaMg2

A crystal of BaCaMg2 relaxed with PBEsol (SCAN, Alexandria).

a b c (Å): 5.862 5.862 4.025
angles (deg): 90.00 90.00 90.00
Fractional positions:
Ba1 0.000 0.000 0.000
Ca1 0.500 0.500 0.000
Mg1 0.000 0.500 0.500
Mg2 0.500 0.000 0.500

Values from the calculation:
Total magnetic moment: 0.07 μB per formula unit
Offset from the most stable computed form: 0.047 eV/atom
V: 34.58 Å³ per atom